An optimized crystal structure of Tl4NiCl6. Source: Alexandria via LeMat-Bulk, functional GGA-PBE.

Unit cell a=8.485 b=8.485 c=9.209 alpha=90.00 beta=90.00 gamma=90.00
Element x y z (fractional)
Tl  0.157  0.343  0.250
Tl  0.157  0.343  0.750
Tl  0.343  0.843  0.250
Tl  0.343  0.843  0.750
Tl  0.657  0.157  0.250
Tl  0.657  0.157  0.750
Tl  0.843  0.657  0.250
Tl  0.843  0.657  0.750
Ni  0.000  0.000  0.000
Ni  0.500  0.500  0.500
Cl  0.000  0.000  0.262
Cl  0.000  0.000  0.738
Cl  0.120  0.734  0.000
Cl  0.234  0.620  0.500
Cl  0.266  0.120  0.000
Cl  0.380  0.234  0.500
Cl  0.500  0.500  0.238
Cl  0.500  0.500  0.762
Cl  0.620  0.766  0.500
Cl  0.734  0.880  0.000
Cl  0.766  0.380  0.500
Cl  0.880  0.266  0.000

Formation energy (no corrections) in eV per atom: -0.879
E_tot in eV/atom: -3.2719